# Hf3TiO

A PBEsol-optimized structure of Hf3TiO (SCAN, Alexandria).

The structure in POSCAR format:
```
Hf3TiO
1.0
4.3833 0.0000 0.0000
0.0000 4.3833 0.0000
0.0000 0.0000 4.3833
Hf Ti O
3 1 1
Cartesian
0.0000 0.0000 2.1916
0.0000 2.1916 0.0000
2.1916 0.0000 0.0000
2.1916 2.1916 2.1916
0.0000 0.0000 0.0000
```

Calculated values
- formation energy without anion corrections (eV/atom) = -1.14